# 1
## Hf8FeSn2 (PBE-GGA)

Data for a geometry-optimized Hf8FeSn2 structure.

Unit cell a=16.6518 b=4.9177 c=5.9917 alpha=90.00 beta=106.42 gamma=90.00
Closest atoms and distances in Å follow each position.
Space group C2/m (No. 12)
Asymmetric unit:
Hf 0.0152 0.0000 0.2544 (multiplicity 4)  2 Fe 2.87, 1 Sn 2.91, 6 Hf 2.95-3.16
Hf 0.0926 0.5000 0.7605 (multiplicity 4)  1 Fe 2.38
Hf 0.1377 0.5000 0.3001 (multiplicity 4)  1 Fe 2.48
Hf 0.2199 0.0000 0.1299 (multiplicity 4)  4 Sn 2.94-3.23, 5 Hf 3.00-3.22
Fe 0.0000 0.5000 0.0000 (multiplicity 2)  4 Hf 2.38-2.48
Sn 0.1739 0.0000 0.6180 (multiplicity 4)  10 Hf 2.91-3.23

Summary:
**E_form**: -0.08 eV/atom

# 2
## LiRe2Sn (PBE-GGA)

Data for a geometry-optimized LiRe2Sn structure.

Unit cell a=3.8130 b=3.8130 c=19.2320 alpha=90.00 beta=90.00 gamma=90.00
Closest atoms and distances in Å follow each position.
Space group I-42d (No. 122)
Asymmetric unit:
Li 0.0000 0.0000 0.0000 (multiplicity 4)  4 Re 2.69, 4 Sn 2.70
Re 0.1974 0.2500 0.1250 (multiplicity 8)  2 Re 2.43, 2 Li 2.69
Sn 0.0000 0.0000 0.5000 (multiplicity 4)  4 Li 2.70, 4 Re 2.83

Summary:
**E_form**: 0.58 eV/atom

# 3
## Li2MnInFe (PBE-GGA)

Data for a geometry-optimized Li2MnInFe structure.

Unit cell a=4.5730 b=4.5730 c=4.1623 alpha=90.00 beta=90.00 gamma=90.00
Closest atoms and distances in Å follow each position.
Space group P4/mmm (No. 123)
Asymmetric unit:
Li 0.0000 0.5000 0.0000 (multiplicity 2)  2 Fe 2.29
Mn 0.0000 0.0000 0.5000 (multiplicity 1)  2 Fe 2.08
In 0.5000 0.5000 0.5000 (multiplicity 1)  8 Li 3.09, 4 Mn 3.23
Fe 0.0000 0.0000 0.0000 (multiplicity 1)  2 Mn 2.08, 4 Li 2.29

Summary:
**E_form**: 0.63 eV/atom